Below is a relaxed structure of CeMnAgF6, with properties calculated at the PBE with a Hubbard U level.

```
CeMnAgF6
1.0
6.0535 0.0000 0.0000
-3.0268 5.2425 0.0000
0.0000 0.0000 9.7059
Ce Mn Ag F
2 2 2 12
direct
0.3333 0.6667 0.2500 Ce
0.6667 0.3333 0.7500 Ce
0.3333 0.6667 0.7500 Mn
0.6667 0.3333 0.2500 Mn
0.0000 0.0000 0.0000 Ag
0.0000 0.0000 0.5000 Ag
0.0197 0.3709 0.6357 F
0.0197 0.6488 0.8643 F
0.3512 0.3709 0.8643 F
0.3512 0.9803 0.6357 F
0.3709 0.0197 0.1357 F
0.3709 0.3512 0.3643 F
0.6291 0.6488 0.6357 F
0.6291 0.9803 0.8643 F
0.6488 0.0197 0.3643 F
0.6488 0.6291 0.1357 F
0.9803 0.3512 0.1357 F
0.9803 0.6291 0.3643 F
```

Properties
- Electronic total energy: -5.864 eV per atom
- N(E_F): 1.168 states/eV/f.u.